Compound: Sr2RhSe
Source: Alexandria
Functional: PBE-GGA
Structure: optimized geometry

abc: 3.782 3.782 7.243
angles: 90.00 90.00 90.00
Space group P4/mmm (No. 123)
Asymmetric unit:
Sr 0.000 0.000 0.250 [2 per cell]
Rh 0.500 0.500 0.000 [1 per cell]
Se 0.500 0.500 0.500 [1 per cell]

- DOS(E_F): 0.41 states/eV/atom
- Formation energy without anion corrections: -0.837 eV/atom